Compound: NaTmPu
Source: OQMD via LeMat-Bulk
Functional: PBE
Structure: optimized geometry

Unit cell a=5.3271 b=5.3271 c=5.3271 alpha=60.00 beta=60.00 gamma=60.00
Fractional coordinates of all 3 atoms:
Na 0.0000 0.0000 0.0000
Pu 0.2500 0.2500 0.2500
Tm 0.7500 0.7500 0.7500

DFT total energy: -5.68 eV/atom
Space-group type: F-43m (216)
ρ: 6.77 g/cm³
Spin magnetization: 2.59 μB/atom

***

Compound: CsErHgS3
Source: OQMD via LeMat-Bulk
Functional: PBE
Structure: optimized geometry

Unit cell a=11.0991 b=4.1304 c=15.3245 alpha=90.00 beta=90.00 gamma=90.00
Fractional coordinates of all 24 atoms:
Cs 0.0150 0.7500 0.6643
Cs 0.4850 0.2500 0.1643
Cs 0.5150 0.7500 0.8357
Cs 0.9850 0.2500 0.3357
Hg 0.7988 0.2500 0.8516
Hg 0.7012 0.7500 0.3516
Hg 0.2012 0.7500 0.1484
Hg 0.2988 0.2500 0.6484
Er 0.6392 0.2500 0.5564
Er 0.3608 0.7500 0.4436
Er 0.8608 0.7500 0.0564
Er 0.1392 0.2500 0.9436
S 0.7737 0.2500 0.6978
S 0.7263 0.7500 0.1978
S 0.7856 0.7500 0.4973
S 0.0149 0.2500 0.1007
S 0.7144 0.2500 0.9973
S 0.2737 0.2500 0.8022
S 0.2856 0.7500 0.0027
S 0.5149 0.2500 0.3993
S 0.2263 0.7500 0.3022
S 0.2144 0.2500 0.5027
S 0.9851 0.7500 0.8993
S 0.4851 0.7500 0.6007

DFT total energy: -4.24 eV/atom
Space-group type: Pnma (62)
ρ: 5.64 g/cm³
Spin magnetization: 0.00 μB/atom

***

Compound: PmPrNi
Source: OQMD via LeMat-Bulk
Functional: PBE
Structure: optimized geometry

Unit cell a=4.8840 b=4.8840 c=4.8840 alpha=60.00 beta=60.00 gamma=60.00
Fractional coordinates of all 3 atoms:
Ni 0.0000 0.0000 0.0000
Pr 0.7500 0.7500 0.7500
Pm 0.2500 0.2500 0.2500

Space-group type: F-43m (216)
ρ: 6.95 g/cm³
Spin magnetization: 0.02 μB/atom
Energy relative to the elements: -0.038 eV/atom

***

Compound: Tb5Zr3Ni16As12
Source: OQMD via LeMat-Bulk
Functional: PBE
Structure: optimized geometry

Unit cell a=12.7466 b=12.7466 c=3.9250 alpha=90.00 beta=90.00 gamma=120.01
Fractional coordinates of all 36 atoms:
Ni 0.8154 0.6228 0.0000
Ni 0.2755 0.2755 0.5000
Ni 0.3630 0.8795 0.5000
Ni 0.5165 0.6370 0.5000
Ni 0.1846 0.8074 0.0000
Ni 0.6370 0.5165 0.5000
Ni 0.3772 0.1926 0.0000
Ni 0.4835 0.1205 0.5000
Ni 0.1205 0.4835 0.5000
Ni 0.7245 0.0000 0.5000
Ni 0.0000 0.0000 0.0000
Ni 0.6228 0.8154 0.0000
Ni 0.8795 0.3630 0.5000
Ni 0.0000 0.7245 0.5000
Ni 0.8074 0.1846 0.0000
Ni 0.1926 0.3772 0.0000
Zr 0.0000 0.5652 0.0000
Zr 0.5652 0.0000 0.0000
Zr 0.4348 0.4348 0.0000
As 0.0000 0.8216 0.0000
As 0.5214 0.8273 0.5000
As 0.0000 0.3573 0.0000
As 0.6942 0.1728 0.5000
As 0.8216 0.0000 0.0000
As 0.8273 0.5214 0.5000
As 0.4786 0.3058 0.5000
As 0.1784 0.1784 0.0000
As 0.3573 0.0000 0.0000
As 0.1728 0.6942 0.5000
As 0.3058 0.4786 0.5000
As 0.6427 0.6427 0.0000
Tb 0.0000 0.1851 0.5000
Tb 0.1851 0.0000 0.5000
Tb 0.8150 0.8150 0.5000
Tb 0.3333 0.6667 0.0000
Tb 0.6667 0.3333 0.0000

DFT total energy: -6.23 eV/atom
Space-group type: P-62m (189)
ρ: 8.74 g/cm³
Spin magnetization: 0.00 μB/atom

***

Compound: PmYSn
Source: OQMD via LeMat-Bulk
Functional: PBE
Structure: optimized geometry

Unit cell a=5.2029 b=5.2029 c=5.2029 alpha=60.00 beta=60.00 gamma=60.00
Fractional coordinates of all 3 atoms:
Sn 0.2500 0.2500 0.2500
Y 0.0000 0.0000 0.0000
Pm 0.5000 0.5000 0.5000

DFT total energy: -5.51 eV/atom
Space-group type: F-43m (216)
ρ: 5.88 g/cm³
Spin magnetization: 0.01 μB/atom

***

Compound: Ag2BMo
Source: OQMD via LeMat-Bulk
Functional: PBE
Structure: optimized geometry

Unit cell a=4.3392 b=4.3392 c=4.3392 alpha=60.00 beta=60.00 gamma=60.00
Site moments in Bohr magnetons follow the coordinates.
Fractional coordinates of all 4 atoms:
Ag 0.0000 0.0000 0.0000  0.02
Ag 0.7500 0.7500 0.7500  0.00
Mo 0.2500 0.2500 0.2500  0.65
B 0.5000 0.5000 0.5000  -0.03

DFT total energy: -4.79 eV/atom
Space-group type: F-43m (216)
ρ: 9.27 g/cm³
Spin magnetization: 0.18 μB/atom

***

Compound: Lu2AlCd
Source: OQMD via LeMat-Bulk
Functional: PBE
Structure: optimized geometry

Unit cell a=5.1117 b=5.1117 c=5.1117 alpha=60.00 beta=60.00 gamma=60.00
Fractional coordinates of all 4 atoms:
Al 0.5000 0.5000 0.5000
Cd 0.2500 0.2500 0.2500
Lu 0.7500 0.7500 0.7500
Lu 0.0000 0.0000 0.0000

DFT total energy: -3.39 eV/atom
Space-group type: F-43m (216)
ρ: 8.60 g/cm³
Spin magnetization: 0.00 μB/atom

***

Compound: Sc3AlGa2Ge2Pt
Source: OQMD via LeMat-Bulk
Functional: PBE
Structure: optimized geometry

Unit cell a=4.0692 b=6.7699 c=6.7699 alpha=120.98 beta=90.00 gamma=90.00
Fractional coordinates of all 9 atoms:
Pt 0.5000 0.9934 0.9934
Sc 0.5000 0.4143 0.4143
Sc 0.5000 0.5846 0.0023
Sc 0.5000 0.0023 0.5846
Ga 0.0000 0.9967 0.2428
Ga 0.0000 0.2428 0.9967
Ge 0.0000 0.3384 0.6664
Ge 0.0000 0.6664 0.3384
Al 0.0000 0.7612 0.7612

DFT total energy: -5.71 eV/atom
Space-group type: Amm2 (38)
ρ: 6.66 g/cm³
Spin magnetization: 0.00 μB/atom